Compound: HgTe2Cl
Source: the Alexandria database
Functional: SCAN
Structure: PBEsol geometry

Values from the calculation:
Excess energy over the best structure of this formula in the dataset (eV/atom): 0.000

a b c (Å): 3.703 5.004 6.195
angles (deg): 101.30 107.39 90.00
Element x y z (fractional)
Te1 0.303 0.330 0.605
Te2 0.697 0.670 0.395
Hg1 0.000 0.500 0.000
Cl1 0.500 0.000 0.000

Compound: HgTe2Cl
Source: the Alexandria database
Functional: SCAN
Structure: PBEsol geometry

Values from the calculation:
Excess energy over the best structure of this formula in the dataset (eV/atom): 0.216

a b c (Å): 3.302 5.866 5.866
angles (deg): 113.84 100.73 100.73
Element x y z (fractional)
Te1 0.000 0.500 0.000
Te2 0.000 0.000 0.500
Hg1 0.500 0.500 0.500
Cl1 0.500 0.000 0.000

Compound: Hg2TeCl
Source: the Alexandria database
Functional: SCAN
Structure: PBEsol geometry

Values from the calculation:
Total energy (eV per atom): -45.4659

a b c (Å): 4.030 4.030 7.131
angles (deg): 106.41 106.41 90.00
Element x y z (fractional)
Te1 0.500 0.500 0.000
Hg1 0.000 0.000 0.000
Hg2 0.750 0.250 0.500
Cl1 0.250 0.750 0.500

Compound: HgTe2Cl
Source: the Alexandria database
Functional: SCAN
Structure: PBEsol geometry

Values from the calculation:
Excess energy over the best structure of this formula in the dataset (eV/atom): 0.088

a b c (Å): 4.120 4.120 7.401
angles (deg): 106.16 106.16 90.00
Element x y z (fractional)
Te1 0.750 0.250 0.500
Te2 0.250 0.750 0.500
Hg1 0.000 0.000 0.000
Cl1 0.500 0.500 0.000

Compound: HgTeCl
Source: the Alexandria database
Functional: SCAN
Structure: PBEsol geometry

Values from the calculation:
Excess energy over the best structure of this formula in the dataset (eV/atom): 0.000

a b c (Å): 3.348 3.348 7.024
angles (deg): 103.79 103.79 90.00
Element x y z (fractional)
Te1 0.315 0.315 0.630
Hg1 0.653 0.653 0.307
Cl1 0.032 0.032 0.063

Compound: HgTeCl
Source: the Alexandria database
Functional: SCAN
Structure: PBEsol geometry

Values from the calculation:
Excess energy over the best structure of this formula in the dataset (eV/atom): 0.080

a b c (Å): 4.885 4.885 4.885
angles (deg): 60.00 60.00 60.00
Element x y z (fractional)
Te1 0.000 0.000 0.000
Hg1 0.250 0.250 0.250
Cl1 0.500 0.500 0.500

Repeat the second record exactly.
Compound: HgTe2Cl
Source: the Alexandria database
Functional: SCAN
Structure: PBEsol geometry

Values from the calculation:
Excess energy over the best structure of this formula in the dataset (eV/atom): 0.216

a b c (Å): 3.302 5.866 5.866
angles (deg): 113.84 100.73 100.73
Element x y z (fractional)
Te1 0.000 0.500 0.000
Te2 0.000 0.000 0.500
Hg1 0.500 0.500 0.500
Cl1 0.500 0.000 0.000

> Which formula does entry 4 have?

HgTe2Cl